Density functional theory data (PBE) for Ce2Er5Co4 after structural relaxation.

Cell lengths 3.383, 7.054, 10.959 Å; angles 83.07, 98.88, 90.00 degrees
Fractional positions:
Co 0.952 0.307 0.905
Co 0.347 0.415 0.695
Co 0.048 0.693 0.095
Co 0.653 0.585 0.305
Ce 0.073 0.382 0.147
Ce 0.927 0.618 0.853
Er 0.778 0.672 0.555
Er 0.222 0.328 0.445
Er 0.852 0.113 0.704
Er 0.500 0.000 0.000
Er 0.148 0.887 0.296

## Properties
Energy of formation, eV per atom: 0.016
Magnetic moment, μB/atom: 0.00
Mass density, Mg/m³: 8.76
DFT total energy, eV per atom: -5.7205
Fermi-level density of states, states/eV per cell: 12.34